[1]
Te | PBE | relaxed

Cell lengths 10.8807, 10.8807, 5.2438 Å; angles 90.00, 90.00, 90.00 degrees
Closest atoms and distances in Å follow each position.
Atoms (fractional coordinates):
1 Te 0.0213 0.1867 0.0000  2 Te 2.89
2 Te 0.1170 0.3993 0.5000  1 Te 2.86
3 Te 0.1752 0.5864 0.0000  3 Te 2.98-3.27
4 Te 0.1867 0.9787 0.0000  2 Te 2.89
5 Te 0.2922 0.6434 0.5000  3 Te 2.86-2.98
6 Te 0.3566 0.2922 0.5000  3 Te 2.86-2.98
7 Te 0.3993 0.8830 0.5000  1 Te 2.86
8 Te 0.4136 0.1752 0.0000  3 Te 2.98-3.27
9 Te 0.5864 0.8248 0.0000  3 Te 2.98-3.27
10 Te 0.6007 0.1170 0.5000  1 Te 2.86
11 Te 0.6434 0.7078 0.5000  3 Te 2.86-2.98
12 Te 0.7078 0.3566 0.5000  3 Te 2.86-2.98
13 Te 0.8133 0.0213 0.0000  2 Te 2.89
14 Te 0.8248 0.4136 0.0000  3 Te 2.98-3.27
15 Te 0.8830 0.6007 0.5000  1 Te 2.86
16 Te 0.9787 0.8133 0.0000  2 Te 2.89

* energy relative to the elements, uncorrected: 184 meV/atom
* polymorph energy (0 for the lowest one): 0.1842 eV/atom
* space-group type: P4/m (83)

=====

[2]
Te | PBE | relaxed

Cell lengths 7.1794, 7.1794, 7.1794 Å; angles 90.00, 90.00, 90.00 degrees
Closest atoms and distances in Å follow each position.
Atoms (fractional coordinates):
1 Te 0.1250 0.1250 0.1250  4 Te 3.11
2 Te 0.1250 0.6250 0.6250  4 Te 3.11
3 Te 0.3750 0.3750 0.8750  4 Te 3.11
4 Te 0.3750 0.8750 0.3750  4 Te 3.11
5 Te 0.6250 0.1250 0.6250  4 Te 3.11
6 Te 0.6250 0.6250 0.1250  4 Te 3.11
7 Te 0.8750 0.3750 0.3750  4 Te 3.11
8 Te 0.8750 0.8750 0.8750  4 Te 3.11

* energy relative to the elements, uncorrected: 419 meV/atom
* polymorph energy (0 for the lowest one): 0.4194 eV/atom
* space-group type: Fd-3m (227)

=====

[3]
Th7Te12 | PBE | relaxed

Cell lengths 12.5817, 12.5817, 4.3535 Å; angles 90.00, 90.00, 120.00 degrees
Closest atoms and distances in Å follow each position.
Atoms (fractional coordinates):
1 Th 0.0000 0.0000 0.0000  9 Te 3.16-3.48
2 Th 0.1635 0.4519 0.5000  8 Te 3.14-3.44
3 Th 0.2884 0.8365 0.5000  8 Te 3.14-3.44
4 Th 0.4375 0.2776 0.0000  8 Te 3.17-3.37
5 Th 0.5481 0.7116 0.5000  8 Te 3.14-3.44
6 Th 0.7224 0.1599 0.0000  8 Te 3.17-3.37
7 Th 0.8401 0.5625 0.0000  8 Te 3.17-3.37
8 Te 0.0078 0.2551 0.0000  4 Th 3.14-3.17
9 Te 0.1334 0.6250 0.0000  5 Th 3.23-3.37
10 Te 0.2170 0.2137 0.5000  5 Th 3.29-3.48, 2 Te 3.65
11 Te 0.2473 0.9922 0.0000  4 Th 3.14-3.17
12 Te 0.3750 0.5084 0.0000  5 Th 3.23-3.37
13 Te 0.4916 0.8666 0.0000  5 Th 3.23-3.37
14 Te 0.5220 0.1367 0.5000  5 Th 3.23-3.44
15 Te 0.6147 0.4780 0.5000  5 Th 3.23-3.44
16 Te 0.7449 0.7527 0.0000  4 Th 3.14-3.17
17 Te 0.7863 0.0033 0.5000  5 Th 3.29-3.48, 2 Te 3.65
18 Te 0.8633 0.3853 0.5000  5 Th 3.23-3.44
19 Te 0.9967 0.7830 0.5000  5 Th 3.29-3.48, 2 Te 3.65

* energy relative to the elements, uncorrected: -1228 meV/atom
* space-group type: P-6 (174)

=====

[4]
Th3Te | PBE | relaxed

Cell lengths 3.7770, 10.9319, 5.9554 Å; angles 90.00, 90.00, 90.00 degrees
Closest atoms and distances in Å follow each position.
Atoms (fractional coordinates):
1 Th 0.0000 0.0000 0.0000  6 Th 3.35-3.55, 4 Te 3.36-3.70
2 Th 0.0000 0.2368 0.3560  7 Th 3.35-3.55, 3 Te 3.38-3.46
3 Th 0.0000 0.7632 0.3560  7 Th 3.35-3.55, 3 Te 3.38-3.46
4 Th 0.5000 0.2632 0.8560  7 Th 3.35-3.55, 3 Te 3.38-3.46
5 Th 0.5000 0.5000 0.5000  6 Th 3.35-3.55, 4 Te 3.36-3.70
6 Th 0.5000 0.7368 0.8560  7 Th 3.35-3.55, 3 Te 3.38-3.46
7 Te 0.0000 0.5000 0.0339  10 Th 3.36-3.70
8 Te 0.5000 0.0000 0.5339  10 Th 3.36-3.70

* energy relative to the elements, uncorrected: -388 meV/atom
* polymorph energy (0 for the lowest one): 0.0000 eV/atom
* space-group type: Imm2 (44)

=====

[5]
ThTe2 | PBE | relaxed

Cell lengths 7.3315, 7.8740, 7.6671 Å; angles 90.00, 99.81, 90.00 degrees
Closest atoms and distances in Å follow each position.
Atoms (fractional coordinates):
1 Th 0.2067 0.0590 0.3056  7 Te 3.10-3.24
2 Th 0.2067 0.4410 0.8056  7 Te 3.10-3.24
3 Th 0.7933 0.5590 0.1944  7 Te 3.10-3.24
4 Th 0.7933 0.9410 0.6944  7 Te 3.10-3.24
5 Te 0.0856 0.7295 0.5069  4 Th 3.22-3.24
6 Te 0.0856 0.7705 0.0069  4 Th 3.22-3.24
7 Te 0.4169 0.1269 0.6975  3 Th 3.10-3.18
8 Te 0.4169 0.3731 0.1975  3 Th 3.10-3.18
9 Te 0.5831 0.6269 0.8025  3 Th 3.10-3.18
10 Te 0.5831 0.8731 0.3025  3 Th 3.10-3.18
11 Te 0.9144 0.2295 0.9931  4 Th 3.22-3.24
12 Te 0.9144 0.2705 0.4931  4 Th 3.22-3.24

* energy relative to the elements, uncorrected: -1184 meV/atom
* space-group type: P2_1/c (14)

=====

[6]
ThTe2 | PBE | relaxed

Cell lengths 7.3820, 7.3820, 4.6670 Å; angles 90.00, 90.00, 90.00 degrees
Closest atoms and distances in Å follow each position.
Atoms (fractional coordinates):
1 Th 0.0000 0.0000 0.0000  6 Te 3.12-3.15
2 Th 0.5000 0.5000 0.5000  6 Te 3.12-3.15
3 Te 0.1980 0.1980 0.5000  3 Th 3.12-3.15
4 Te 0.3020 0.6980 0.0000  3 Th 3.12-3.15
5 Te 0.6980 0.3020 0.0000  3 Th 3.12-3.15
6 Te 0.8020 0.8020 0.5000  3 Th 3.12-3.15

* energy relative to the elements, uncorrected: -1059 meV/atom
* space-group type: P4_2/mnm (136)

=====

[7]
Th3Te | PBE | relaxed

Cell lengths 4.8520, 4.8520, 10.1928 Å; angles 90.00, 90.00, 90.00 degrees
Closest atoms and distances in Å follow each position.
Atoms (fractional coordinates):
1 Th 0.0000 0.0000 0.0000  4 Te 3.43, 8 Th 3.52
2 Th 0.0000 0.5000 0.2500  8 Th 3.43-3.52, 4 Te 3.52
3 Th 0.0000 0.5000 0.7500  8 Th 3.43-3.52, 4 Te 3.52
4 Th 0.5000 0.0000 0.2500  8 Th 3.43-3.52, 4 Te 3.52
5 Th 0.5000 0.0000 0.7500  8 Th 3.43-3.52, 4 Te 3.52
6 Th 0.5000 0.5000 0.5000  4 Te 3.43, 8 Th 3.52
7 Te 0.0000 0.0000 0.5000  12 Th 3.43-3.52
8 Te 0.5000 0.5000 0.0000  12 Th 3.43-3.52

* energy relative to the elements, uncorrected: -278 meV/atom
* polymorph energy (0 for the lowest one): 0.1102 eV/atom
* space-group type: I4/mmm (139)

=====

[8]
Th4Te | PBE | relaxed

Cell lengths 5.8217, 5.8217, 5.8217 Å; angles 90.00, 90.00, 90.00 degrees
Closest atoms and distances in Å follow each position.
Atoms (fractional coordinates):
1 Th 0.0000 0.0000 0.0000  12 Th 4.12
2 Th 0.0000 0.5000 0.5000  2 Te 2.91
3 Th 0.5000 0.0000 0.5000  2 Te 2.91
4 Th 0.5000 0.5000 0.0000  2 Te 2.91
5 Te 0.5000 0.5000 0.5000  6 Th 2.91

* energy relative to the elements, uncorrected: 300 meV/atom
* space-group type: Pm-3m (221)